# TaCoRh2

TaCoRh2 after structural relaxation (GGA-PBE, Alexandria).

ΔE_f in kJ per mole of atoms: -8

Lattice parameters (Å, degrees): 4.3395 4.3395 4.3395 60.00 60.00 60.00
Site moments in Bohr magnetons follow the coordinates.
Element x y z (fractional)
Co (0.5000, 0.5000, 0.5000)  1.15
Rh (0.0000, 0.0000, 0.0000)  0.09
Rh (0.7500, 0.7500, 0.7500)  0.22
Ta (0.2500, 0.2500, 0.2500)  -0.13

# InHgPb2

InHgPb2 after structural relaxation (GGA-PBE, Alexandria).

ΔE_f in kJ per mole of atoms: 3

Lattice parameters (Å, degrees): 5.3470 3.4479 6.4069 80.75 90.00 90.00
Element x y z (fractional)
Pb (0.0000, 0.0350, 0.0045)
Pb (0.0000, 0.4650, 0.4955)
Hg (0.5000, 0.2500, 0.2500)
In (0.5000, 0.7500, 0.7500)

# Pr2NdErTh

Pr2NdErTh after structural relaxation (GGA-PBE, Alexandria).

ΔE_f in kJ per mole of atoms: 30

Lattice parameters (Å, degrees): 6.3975 9.1627 6.5300 110.03 90.00 90.00
Element x y z (fractional)
Pr (0.6880, 0.6860, 0.8418)
Pr (0.6880, 0.3140, 0.6582)
Pr (0.3120, 0.6860, 0.3418)
Pr (0.3120, 0.3140, 0.1582)
Nd (0.1662, 0.5000, 0.7500)
Nd (0.8338, 0.5000, 0.2500)
Er (0.5030, 0.0000, 0.2500)
Er (0.4970, 0.0000, 0.7500)
Th (0.0000, 0.0000, 0.0000)
Th (0.0000, 0.0000, 0.5000)

# U5PaSe6

U5PaSe6 after structural relaxation (GGA-PBE, Alexandria).

Uncorrected formation energy in eV per atom: -1.037

Lattice parameters (Å, degrees): 6.9618 6.9618 6.7906 99.36 99.36 115.26
Site moments in Bohr magnetons follow the coordinates.
Element x y z (fractional)
Pa (0.0000, 0.0000, 0.0000)  0.72
U (0.8330, 0.1670, 0.5000)  2.40
U (0.6659, 0.3341, 0.0000)  2.39
U (0.5000, 0.5000, 0.5000)  2.38
U (0.3341, 0.6659, 0.0000)  2.39
U (0.1670, 0.8330, 0.5000)  2.40
Se (0.4178, 0.0828, 0.2507)  -0.05
Se (0.9172, 0.5822, 0.7493)  -0.05
Se (0.2499, 0.2499, 0.7479)  -0.05
Se (0.7501, 0.7501, 0.2521)  -0.05
Se (0.0828, 0.4178, 0.2507)  -0.05
Se (0.5822, 0.9172, 0.7493)  -0.05

# NaBI

NaBI after structural relaxation (GGA-PBE, Alexandria).

Uncorrected formation energy in eV per atom: 0.694

Lattice parameters (Å, degrees): 3.5109 4.1338 10.6875 91.00 90.03 89.98
Element x y z (fractional)
B (0.7504, 0.7593, 0.1755)
B (0.2496, 0.2407, 0.8245)
I (0.2506, 0.7654, 0.3249)
I (0.7494, 0.2346, 0.6751)
Na (0.7498, 0.7450, 0.9098)
Na (0.2502, 0.2550, 0.0902)

# Cs2NpI3Cl3

Cs2NpI3Cl3 after structural relaxation (GGA-PBE, Alexandria).

Uncorrected formation energy in eV per atom: -1.384

Lattice parameters (Å, degrees): 4.3388 9.6229 9.6229 120.00 90.00 90.00
Site moments in Bohr magnetons follow the coordinates.
Element x y z (fractional)
Cs (0.5000, 0.3333, 0.6667)  0.00
Cs (0.5000, 0.6667, 0.3333)  0.00
Np (0.0000, 0.0000, 0.0000)  3.46
I (0.0000, 0.0000, 0.3444)  -0.08
I (0.0000, 0.6556, 0.6556)  -0.08
I (0.0000, 0.3444, 0.0000)  -0.08
Cl (0.5000, 0.8050, 0.0000)  -0.05
Cl (0.5000, 0.1950, 0.1950)  -0.05
Cl (0.5000, 0.0000, 0.8050)  -0.05

# TbSmTh

TbSmTh after structural relaxation (GGA-PBE, Alexandria).

ΔE_f in kJ per mole of atoms: 3

Lattice parameters (Å, degrees): 10.1549 7.1590 10.7598 59.85 135.26 134.79
Element x y z (fractional)
Tb (0.7446, 0.2547, 0.1591)
Tb (0.2446, 0.7547, 0.1591)
Tb (0.7554, 0.2453, 0.8409)
Tb (0.2554, 0.7453, 0.8409)
Sm (0.7500, 0.2500, 0.5000)
Sm (0.2500, 0.2500, 0.5000)
Sm (0.7500, 0.7500, 0.5000)
Sm (0.2500, 0.7500, 0.5000)
Th (0.7525, 0.7540, 0.8364)
Th (0.7475, 0.7460, 0.1636)
Th (0.2525, 0.2540, 0.8364)
Th (0.2475, 0.2460, 0.1636)

# NdGeSe3

NdGeSe3 after structural relaxation (GGA-PBE, Alexandria).

Uncorrected formation energy in eV per atom: -0.988

Lattice parameters (Å, degrees): 6.7609 8.0566 9.4244 90.00 90.00 90.00
Element x y z (fractional)
Nd (0.0399, 0.1149, 0.7250)
Nd (0.4601, 0.6149, 0.7250)
Nd (0.5399, 0.3851, 0.2250)
Nd (0.9601, 0.8851, 0.2250)
Ge (0.4790, 0.9377, 0.9957)
Ge (0.5210, 0.0623, 0.4957)
Ge (0.0210, 0.4377, 0.9957)
Ge (0.9790, 0.5623, 0.4957)
Se (0.8417, 0.1742, 0.4178)
Se (0.8329, 0.1747, 0.0326)
Se (0.1583, 0.8258, 0.9178)
Se (0.1671, 0.8253, 0.5326)
Se (0.3329, 0.3253, 0.5326)
Se (0.6256, 0.9633, 0.7399)
Se (0.6671, 0.6747, 0.0326)
Se (0.8744, 0.4633, 0.7399)
Se (0.6583, 0.6742, 0.4178)
Se (0.3417, 0.3258, 0.9178)
Se (0.1256, 0.5367, 0.2399)
Se (0.3744, 0.0367, 0.2399)

no.,spin magnetization (μB/f.u.)
1,1.26
2,0.00
3,0.00
4,14.10
5,0.00
6,2.98
7,0.00
8,0.00